VASP calculation (GGA-PBE) on a relaxed Sb2BrN crystal.

Output
- E_form (uncorrected) (eV/atom) = 1.203
- space group = Fm-3m
- Fermi-level density of states (states/eV per cell) = 3.83
- DFT total energy (eV for the cell shown) = -13.4
- V (Å³/cell) = 83

Unit cell a=4.891 b=4.891 c=4.891 alpha=60.00 beta=60.00 gamma=60.00
Fractional positions:
Sb 0.750 0.750 0.750
Sb 0.250 0.250 0.250
N 0.000 0.000 0.000
Br 0.500 0.500 0.500

=====

VASP calculation (GGA-PBE) on a relaxed Sb3BrN crystal.

Output
- E_form (uncorrected) (eV/atom) = 1.957
- space group = Pm-3m
- Fermi-level density of states (states/eV per cell) = 5.49
- DFT total energy (eV for the cell shown) = -12.6
- V (Å³/cell) = 175

Unit cell a=5.589 b=5.589 c=5.589 alpha=90.00 beta=90.00 gamma=90.00
Fractional positions:
Sb 0.000 0.000 0.500
Sb 0.500 0.000 0.000
Sb 0.000 0.500 0.000
N 0.500 0.500 0.500
Br 0.000 0.000 0.000

=====

VASP calculation (GGA-PBE) on a relaxed SbBrN crystal.

Output
- E_form (uncorrected) (eV/atom) = -0.048
- space group = P2_1/c
- DFT total energy (eV for the cell shown) = -57.1
- V (Å³/cell) = 479

Unit cell a=9.800 b=8.937 c=6.324 alpha=120.13 beta=90.00 gamma=90.00
Fractional positions:
Sb 0.006 0.128 0.235
Sb 0.994 0.872 0.765
Sb 0.494 0.628 0.235
Sb 0.506 0.372 0.765
N 0.976 0.487 0.069
N 0.524 0.987 0.069
N 0.024 0.513 0.931
N 0.476 0.013 0.931
Br 0.314 0.466 0.342
Br 0.814 0.034 0.658
Br 0.186 0.966 0.342
Br 0.686 0.534 0.658

=====

VASP calculation (GGA-PBE) on a relaxed SrSbBr2N crystal.

Output
- E_form (uncorrected) (eV/atom) = 0.448
- space group = P4/mmm
- Fermi-level density of states (states/eV per cell) = 0.00
- DFT total energy (eV for the cell shown) = -15.2
- V (Å³/cell) = 262

Unit cell a=5.842 b=7.680 c=5.842 alpha=90.00 beta=90.00 gamma=90.00
Fractional positions:
Sr 0.000 0.000 0.000
N 0.500 0.500 0.500
Sb 0.000 0.500 0.000
Br 0.500 0.000 0.000
Br 0.000 0.000 0.500

=====

VASP calculation (GGA-PBE) on a relaxed TcSbBrN2 crystal.

Output
- E_form (uncorrected) (eV/atom) = 0.565
- space group = P4/mmm
- Fermi-level density of states (states/eV per cell) = 2.75
- DFT total energy (eV for the cell shown) = -30.0
- V (Å³/cell) = 87

Unit cell a=3.938 b=3.938 c=5.623 alpha=90.00 beta=90.00 gamma=90.00
Fractional positions:
Sb 0.000 0.000 0.500
Tc 0.000 0.000 0.000
Br 0.500 0.500 0.500
N 0.000 0.500 0.000
N 0.500 0.000 0.000

=====

VASP calculation (GGA-PBE) on a relaxed SbTeBrN2 crystal.

Output
- E_form (uncorrected) (eV/atom) = 1.223
- space group = P4/mmm
- Fermi-level density of states (states/eV per cell) = 4.01
- DFT total energy (eV for the cell shown) = -19.5
- V (Å³/cell) = 109

Unit cell a=4.107 b=4.107 c=6.493 alpha=90.00 beta=90.00 gamma=90.00
Fractional positions:
Te 0.000 0.000 0.500
N 0.500 0.000 0.000
N 0.000 0.500 0.000
Sb 0.000 0.000 0.000
Br 0.500 0.500 0.500

=====

VASP calculation (GGA-PBE) on a relaxed SbTeBrN2 crystal.

Output
- E_form (uncorrected) (eV/atom) = 2.038
- space group = P4/mmm
- Fermi-level density of states (states/eV per cell) = 3.44
- DFT total energy (eV for the cell shown) = -15.4
- V (Å³/cell) = 105

Unit cell a=4.360 b=4.360 c=5.517 alpha=90.00 beta=90.00 gamma=90.00
Fractional positions:
N 0.000 0.500 0.000
N 0.500 0.000 0.000
Te 0.000 0.000 0.500
Sb 0.500 0.500 0.500
Br 0.000 0.000 0.000

=====

VASP calculation (GGA-PBE) on a relaxed ZrSbBrN2 crystal.

Output
- E_form (uncorrected) (eV/atom) = 1.696
- space group = P4/mmm
- Fermi-level density of states (states/eV per cell) = 2.18
- DFT total energy (eV for the cell shown) = -22.5
- V (Å³/cell) = 92

Unit cell a=4.202 b=5.215 c=4.202 alpha=90.00 beta=90.00 gamma=90.00
Fractional positions:
Br 0.000 0.000 0.000
N 0.000 0.000 0.500
N 0.500 0.000 0.000
Sb 0.500 0.500 0.500
Zr 0.000 0.500 0.000

=====

VASP calculation (GGA-PBE) on a relaxed ScBr2N crystal.

Output
- E_form (uncorrected) (eV/atom) = 0.139
- space group = R-3m
- Fermi-level density of states (states/eV per cell) = 1.76
- DFT total energy (eV for the cell shown) = -17.4
- V (Å³/cell) = 120

Unit cell a=9.999 b=9.999 c=9.999 alpha=21.68 beta=21.68 gamma=21.68
Fractional positions:
Br 0.110 0.110 0.110
Br 0.890 0.890 0.890
N 0.000 0.000 0.000
Sc 0.500 0.500 0.500

=====

VASP calculation (GGA-PBE) on a relaxed ScBr2N crystal.

Output
- E_form (uncorrected) (eV/atom) = 0.388
- space group = I-42d
- Fermi-level density of states (states/eV per cell) = 5.19
- DFT total energy (eV for the cell shown) = -32.9
- V (Å³/cell) = 250

Unit cell a=5.794 b=5.794 c=8.505 alpha=70.09 beta=70.09 gamma=90.00
Fractional positions:
Br 0.875 0.934 0.750
Br 0.684 0.125 0.250
Br 0.066 0.625 0.250
Br 0.375 0.316 0.750
Sc 0.000 0.000 0.000
Sc 0.750 0.250 0.500
N 0.250 0.750 0.500
N 0.500 0.500 0.000

=====

VASP calculation (GGA-PBE) on a relaxed ScBr3N crystal.

Output
- E_form (uncorrected) (eV/atom) = 0.503
- space group = Pm-3m
- Fermi-level density of states (states/eV per cell) = 5.33
- DFT total energy (eV for the cell shown) = -17.2
- V (Å³/cell) = 105

Unit cell a=4.712 b=4.712 c=4.712 alpha=90.00 beta=90.00 gamma=90.00
Fractional positions:
Sc 0.500 0.500 0.500
Br 0.000 0.000 0.500
Br 0.000 0.500 0.000
Br 0.500 0.000 0.000
N 0.000 0.000 0.000

=====

VASP calculation (GGA-PBE) on a relaxed ScBr4N2 crystal.

Output
- E_form (uncorrected) (eV/atom) = 0.574
- space group = C2/m
- Fermi-level density of states (states/eV per cell) = 0.54
- DFT total energy (eV for the cell shown) = -25.7
- V (Å³/cell) = 199

Unit cell a=3.782 b=6.713 c=8.080 alpha=91.10 beta=103.54 gamma=90.00
Fractional positions:
N 0.303 0.278 0.607
N 0.697 0.722 0.393
Br 0.606 0.129 0.212
Br 0.924 0.362 0.848
Br 0.076 0.638 0.152
Br 0.394 0.871 0.788
Sc 0.000 0.000 0.000

=====

VASP calculation (GGA-PBE) on a relaxed ScBr2N crystal.

Output
- E_form (uncorrected) (eV/atom) = 0.691
- space group = R-3m
- Fermi-level density of states (states/eV per cell) = 2.78
- DFT total energy (eV for the cell shown) = -15.2
- V (Å³/cell) = 150

Unit cell a=10.695 b=10.695 c=10.695 alpha=21.99 beta=21.99 gamma=21.99
Fractional positions:
N 0.500 0.500 0.500
Sc 0.000 0.000 0.000
Br 0.923 0.923 0.923
Br 0.077 0.077 0.077

=====

VASP calculation (GGA-PBE) on a relaxed Sc2BrN crystal.

Output
- E_form (uncorrected) (eV/atom) = -1.158
- space group = I-42d
- Fermi-level density of states (states/eV per cell) = 6.22
- DFT total energy (eV for the cell shown) = -54.6
- V (Å³/cell) = 164

Unit cell a=5.641 b=5.641 c=6.514 alpha=64.34 beta=64.34 gamma=90.00
Fractional positions:
N 0.250 0.750 0.500
N 0.500 0.500 0.000
Sc 0.531 0.125 0.250
Sc 0.875 0.781 0.750
Sc 0.375 0.469 0.750
Sc 0.219 0.625 0.250
Br 0.000 0.000 0.000
Br 0.750 0.250 0.500

=====

VASP calculation (GGA-PBE) on a relaxed ScBr3N crystal.

Output
- E_form (uncorrected) (eV/atom) = -0.286
- space group = P-1
- Fermi-level density of states (states/eV per cell) = 0.00
- DFT total energy (eV for the cell shown) = -42.2
- V (Å³/cell) = 358

Unit cell a=9.374 b=5.322 c=9.077 alpha=105.97 beta=99.67 gamma=55.41
Fractional positions:
Sc 0.434 0.900 0.527
Sc 0.934 0.400 0.528
Br 0.681 0.554 0.316
Br 0.188 0.246 0.739
Br 0.687 0.746 0.739
Br 0.180 0.054 0.315
Br 0.434 0.400 0.526
Br 0.934 0.900 0.529
N 0.930 0.703 0.100
N 0.438 0.597 0.954

=====

VASP calculation (GGA-PBE) on a relaxed Sc7Br12N crystal.

Output
- E_form (uncorrected) (eV/atom) = -1.591
- space group = R-3
- Fermi-level density of states (states/eV per cell) = 12.24
- DFT total energy (eV for the cell shown) = -104.5
- V (Å³/cell) = 524

Unit cell a=8.647 b=8.647 c=8.647 alpha=107.94 beta=107.94 gamma=107.94
Fractional positions:
Sc 0.030 0.284 0.094
Sc 0.094 0.030 0.284
Sc 0.284 0.094 0.030
Sc 0.970 0.716 0.906
Sc 0.906 0.970 0.716
Sc 0.716 0.906 0.970
Sc 0.500 0.500 0.500
Br 0.778 0.924 0.303
Br 0.924 0.303 0.778
Br 0.076 0.697 0.222
Br 0.697 0.222 0.076
Br 0.154 0.383 0.458
Br 0.383 0.458 0.154
Br 0.458 0.154 0.383
Br 0.846 0.617 0.542
Br 0.303 0.778 0.924
Br 0.222 0.076 0.697
Br 0.617 0.542 0.846
Br 0.542 0.846 0.617
N 0.000 0.000 0.000

=====

VASP calculation (GGA-PBE) on a relaxed ScBr2N crystal.

Output
- E_form (uncorrected) (eV/atom) = 0.251
- space group = Fm-3m
- Fermi-level density of states (states/eV per cell) = 3.87
- DFT total energy (eV for the cell shown) = -17.0
- V (Å³/cell) = 78

Unit cell a=4.786 b=4.786 c=4.786 alpha=60.00 beta=60.00 gamma=60.00
Fractional positions:
Br 0.250 0.250 0.250
Br 0.750 0.750 0.750
Sc 0.500 0.500 0.500
N 0.000 0.000 0.000

=====

VASP calculation (GGA-PBE) on a relaxed Sc2BrN crystal.

Output
- E_form (uncorrected) (eV/atom) = -0.393
- space group = Fm-3m
- Fermi-level density of states (states/eV per cell) = 2.10
- DFT total energy (eV for the cell shown) = -24.2
- V (Å³/cell) = 62

Unit cell a=4.438 b=4.438 c=4.438 alpha=60.00 beta=60.00 gamma=60.00
Fractional positions:
Sc 0.750 0.750 0.750
Sc 0.250 0.250 0.250
Br 0.500 0.500 0.500
N 0.000 0.000 0.000

=====

VASP calculation (GGA-PBE) on a relaxed ScBr3N crystal.

Output
- E_form (uncorrected) (eV/atom) = -0.205
- space group = Pm-3m
- Fermi-level density of states (states/eV per cell) = 0.00
- DFT total energy (eV for the cell shown) = -20.7
- V (Å³/cell) = 150

Unit cell a=5.311 b=5.311 c=5.311 alpha=90.00 beta=90.00 gamma=90.00
Fractional positions:
N 0.500 0.500 0.500
Br 0.500 0.000 0.000
Br 0.000 0.500 0.000
Br 0.000 0.000 0.500
Sc 0.000 0.000 0.000

=====

VASP calculation (GGA-PBE) on a relaxed Sc4Br5N crystal.

Output
- E_form (uncorrected) (eV/atom) = -1.554
- space group = C2/m
- Fermi-level density of states (states/eV per cell) = 3.17
- DFT total energy (eV for the cell shown) = -57.6
- V (Å³/cell) = 242

Unit cell a=3.574 b=7.629 c=9.266 alpha=102.26 beta=101.12 gamma=90.00
Fractional positions:
Br 0.156 0.829 0.312
Br 0.154 0.331 0.309
Br 0.500 0.500 0.000
Br 0.844 0.171 0.688
Br 0.846 0.669 0.691
Sc 0.620 0.062 0.240
Sc 0.000 0.193 0.000
Sc 0.380 0.938 0.760
Sc 0.000 0.807 0.000
N 0.500 0.000 0.000